This record from Alexandria via LeMat-Bulk describes Rb2CoGeO4 after structural relaxation. The functional is GGA+U.

Properties
Volume ... 20.51 Å³ per atom
Raw total energy ... -5.406 eV per atom
DOS(E_F) ... 0.00 states/eV/f.u.

abc: 5.2371 12.1948 20.5491
angles: 90.00 90.00 90.00
Last column: nearest neighbours and their distance in Å.
Space group Fddd (No. 70, origin choice 2)
Unique sites:
Rb1 0.1250 0.1250 0.3001 (multiplicity 16)  8 O 3.17-3.48
Co1 0.1250 0.1250 0.1250 (multiplicity 8)  4 O 1.99
Ge1 0.1250 0.1250 0.6250 (multiplicity 8)  4 O 1.80
O1 0.0991 0.2911 0.8312 (multiplicity 32)  1 Ge 1.80, 1 Co 1.99